A relaxed structure of NaCePd2. Source: Alexandria via LeMat-Bulk, functional PBE-GGA.

Computed properties:
M_tot in μB per formula unit: 0.54
Crystal system: tetragonal
DFT total energy in eV/cell: -19.33
N(E_F) in states/eV/f.u.: 4.87
Calculated formation energy in eV per atom: -0.424

Cell and atoms, written as CIF:
```
data_NaCePd2
_chemical_formula_sum 'Na1 Ce1 Pd2'
_space_group_name_H-M_alt 'P 4/m m m'
_space_group_IT_number 123
_space_group_name_Hall '-P 4 2'
_cell_length_a 3.469
_cell_length_b 3.469
_cell_length_c 7.218
_cell_angle_alpha 90.00
_cell_angle_beta 90.00
_cell_angle_gamma 90.00
loop_
_atom_site_label
_atom_site_type_symbol
_atom_site_fract_x
_atom_site_fract_y
_atom_site_fract_z
Na1 Na 0.000 0.000 0.000
Ce1 Ce 0.000 0.000 0.500
Pd1 Pd 0.500 0.500 0.266
```

A relaxed structure of Ba2CdSn. Source: Alexandria via LeMat-Bulk, functional PBE-GGA.

Computed properties:
M_tot in μB per formula unit: 0.00
Crystal system: orthorhombic
DFT total energy in eV/cell: -14.84
N(E_F) in states/eV/f.u.: 5.19
Calculated formation energy in eV per atom: 0.336

Cell and atoms, written as CIF:
```
data_Ba2CdSn
_chemical_formula_sum 'Ba4 Cd2 Sn2'
_space_group_name_H-M_alt 'I m m m'
_space_group_IT_number 71
_space_group_name_Hall '-I 2 2'
_cell_length_a 3.826
_cell_length_b 6.472
_cell_length_c 13.848
_cell_angle_alpha 90.00
_cell_angle_beta 90.00
_cell_angle_gamma 90.00
loop_
_atom_site_label
_atom_site_type_symbol
_atom_site_fract_x
_atom_site_fract_y
_atom_site_fract_z
Ba1 Ba 0.000 0.000 0.242
Cd1 Cd 0.000 0.000 0.000
Sn1 Sn 0.000 0.000 0.500
```

Please write out number 2 again, unchanged.
A relaxed structure of Ba2CdSn. Source: Alexandria via LeMat-Bulk, functional PBE-GGA.

Computed properties:
M_tot in μB per formula unit: 0.00
Crystal system: orthorhombic
DFT total energy in eV/cell: -14.84
N(E_F) in states/eV/f.u.: 5.19
Calculated formation energy in eV per atom: 0.336

Cell and atoms, written as CIF:
```
data_Ba2CdSn
_chemical_formula_sum 'Ba4 Cd2 Sn2'
_space_group_name_H-M_alt 'I m m m'
_space_group_IT_number 71
_space_group_name_Hall '-I 2 2'
_cell_length_a 3.826
_cell_length_b 6.472
_cell_length_c 13.848
_cell_angle_alpha 90.00
_cell_angle_beta 90.00
_cell_angle_gamma 90.00
loop_
_atom_site_label
_atom_site_type_symbol
_atom_site_fract_x
_atom_site_fract_y
_atom_site_fract_z
Ba1 Ba 0.000 0.000 0.242
Cd1 Cd 0.000 0.000 0.000
Sn1 Sn 0.000 0.000 0.500
```